10
Lattice="5.118 0.000 0.000 2.525 4.651 0.000 0.013 2.638 4.768" Properties=species:S:1:pos:R:3 comment="Li2NiRhF6 PBE with a Hubbard U optimized geometry" spacegroup="No. 1" vol_a3_per_fu=113.5 magmom_total_mub_per_atom=0.29 dft_energy_ev_per_atom=-4.624 pbc="T T T"
Li 0.000 0.000 0.000
Li 4.954 5.934 2.404
Ni 2.465 4.227 2.954
Rh 5.027 2.935 0.569
F 3.241 5.568 1.669
F 1.684 2.603 3.829
F 3.309 2.845 1.710
F 4.169 4.187 4.071
F 5.957 4.378 1.721
F 6.695 5.684 4.079